Entry from Alexandria via LeMat-Bulk: an optimized crystal structure of VCdH (PBE).

Output
DFT total energy ... -4.305 eV/atom

Cell: 2.744 2.744 4.777 Å, 90.00 90.00 90.00°
Space group P4/mmm (No. 123)
Unique sites:
V  0.000  0.000  0.000 x1
Cd  0.500  0.500  0.500 x1
H  0.500  0.500  0.000 x1